1.
A plane-wave DFT calculation with PBE was carried out for crystalline PmScCdSi at its relaxed geometry.

abc: 7.1189 7.1189 7.1189
angles: 90.00 90.00 90.00
Space group F-43m (No. 216)
One atom of each set of equivalent atoms:
Pm1 0.0000 0.0000 0.0000 [4 per cell]
Sc1 0.0000 0.0000 0.5000 [4 per cell]
Cd1 0.2500 0.2500 0.7500 [4 per cell]
Si1 0.2500 0.2500 0.2500 [4 per cell]

* energy relative to the elements, uncorrected: -359 meV/atom
* E: -75.42 eV per cell

=====

2.
A plane-wave DFT calculation with PBE was carried out for crystalline Mn2NiPt4 at its relaxed geometry.

abc: 5.3923 8.0371 10.7375
angles: 90.00 90.00 90.00
Space group Fmmm (No. 69)
One atom of each set of equivalent atoms:
Mn1 0.0000 0.0000 0.1369 [8 per cell]
Ni1 0.0000 0.0000 0.5000 [4 per cell]
Pt1 0.2500 0.2500 0.0000 [8 per cell]
Pt2 0.2500 0.2500 0.2500 [8 per cell]

* E: -192.12 eV per cell

=====

3.
A plane-wave DFT calculation with PBE was carried out for crystalline Zr2Pd3 at its relaxed geometry.

abc: 9.2993 3.9262 6.6900
angles: 90.00 132.64 90.00
Space group C2/m (No. 12)
One atom of each set of equivalent atoms:
Zr1 0.0728 0.0000 0.2890 [4 per cell]
Pd1 0.0000 0.5000 0.5000 [2 per cell]
Pd2 0.1972 0.5000 0.1069 [4 per cell]

* E: -71.72 eV per cell

=====

4.
A plane-wave DFT calculation with PBE was carried out for crystalline K2Mg at its relaxed geometry.

abc: 4.1790 4.1790 36.5610
angles: 90.00 90.00 90.00
Space group I4_1/amd (No. 141, origin choice 2)
One atom of each set of equivalent atoms:
K1 0.0000 0.2500 0.3068 [8 per cell]
Mg1 0.0000 0.2500 0.8750 [4 per cell]

* E: -12.92 eV per cell
* polymorph energy (0 for the lowest one): 51 meV/atom

=====

5.
A plane-wave DFT calculation with PBE was carried out for crystalline SrAg2SnO at its relaxed geometry.

abc: 5.6724 5.6724 6.6006
angles: 90.00 90.00 90.00
Space group P4/mmm (No. 123)
One atom of each set of equivalent atoms:
Sr1 0.0000 0.0000 0.0000 [1 per cell]
Ag1 0.0000 0.5000 0.0000 [2 per cell]
Sn1 0.0000 0.0000 0.5000 [1 per cell]
O1 0.5000 0.5000 0.5000 [1 per cell]

* energy relative to the elements, uncorrected: 1403 meV/atom
* E: -9.33 eV per cell

=====

6.
A plane-wave DFT calculation with PBE was carried out for crystalline Sr2PuPaO6 at its relaxed geometry.

abc: 6.0573 6.2216 10.5620
angles: 90.00 124.84 90.00
Space group P2_1/c (No. 14)
One atom of each set of equivalent atoms:
Sr1 0.2343 0.0454 0.2475 [4 per cell]
Pu1 0.0000 0.0000 0.5000 [2 per cell]
Pa1 0.5000 0.0000 0.0000 [2 per cell]
O1 0.1550 0.1944 0.9466 [4 per cell]
O2 0.2415 0.7120 0.9364 [4 per cell]
O3 0.3674 0.0486 0.7586 [4 per cell]

* energy relative to the elements, uncorrected: -3196 meV/atom
* E: -177.81 eV per cell

=====

7.
A plane-wave DFT calculation with PBE was carried out for crystalline Zn2Fe9Co at its relaxed geometry.

abc: 4.6521 4.6521 23.7039
angles: 90.00 90.00 120.00
Space group R-3m (No. 166, hexagonal axes)
One atom of each set of equivalent atoms:
Zn1 0.0000 0.0000 0.1436 [6 per cell]
Fe1 0.0000 0.0000 0.3342 [6 per cell]
Fe2 0.0000 0.0000 0.5000 [3 per cell]
Fe3 0.0050 0.5025 0.9148 [18 per cell]
Co1 0.0000 0.0000 0.0000 [3 per cell]

* E: -247.03 eV per cell

=====

8.
A plane-wave DFT calculation with PBE was carried out for crystalline PmMg2ZnSn2 at its relaxed geometry.

abc: 4.6200 8.6675 7.3490
angles: 90.00 90.00 90.00
Space group Pmc2_1 (No. 26)
One atom of each set of equivalent atoms:
Pm1 0.0000 0.0356 0.0000 [2 per cell]
Mg1 0.0000 0.3476 0.3413 [2 per cell]
Mg2 0.5000 0.4108 0.0101 [2 per cell]
Zn1 0.5000 0.1676 0.6788 [2 per cell]
Sn1 0.0000 0.3354 0.7410 [2 per cell]
Sn2 0.5000 0.1517 0.2778 [2 per cell]

* E: -38.42 eV per cell

=====

9.
A plane-wave DFT calculation with PBE was carried out for crystalline AlCo2Pb at its relaxed geometry.

abc: 2.9417 3.0458 13.5180
angles: 90.00 90.00 90.00
Space group Amm2 (No. 38)
One atom of each set of equivalent atoms:
Al1 0.0000 0.0000 0.0000 [2 per cell]
Co1 0.5000 0.0000 0.4055 [2 per cell]
Co2 0.5000 0.0000 0.6040 [2 per cell]
Pb1 0.0000 0.0000 0.2404 [2 per cell]

* E: -42.35 eV per cell
* polymorph energy (0 for the lowest one): 159 meV/atom

=====

10.
A plane-wave DFT calculation with PBE was carried out for crystalline Sr2Al2Tc at its relaxed geometry.

abc: 8.0736 8.0736 4.5222
angles: 90.00 90.00 90.00
Space group P4/mbm (No. 127)
One atom of each set of equivalent atoms:
Sr1 0.1606 0.3394 0.0000 [4 per cell]
Al1 0.1404 0.6404 0.5000 [4 per cell]
Tc1 0.0000 0.0000 0.0000 [2 per cell]

* E: -33.11 eV per cell
* polymorph energy (0 for the lowest one): 691 meV/atom

=====

11.
A plane-wave DFT calculation with PBE was carried out for crystalline CaDyP at its relaxed geometry.

abc: 4.0054 4.0054 6.5835
angles: 90.00 90.00 120.00
Space group P3m1 (No. 156)
One atom of each set of equivalent atoms:
Ca1 0.0000 0.0000 0.0000 [1 per cell]
Dy1 0.6667 0.3333 0.4852 [1 per cell]
P1 0.3333 0.6667 0.2652 [1 per cell]

* E: -14.65 eV per cell

=====

12.
A plane-wave DFT calculation with PBE was carried out for crystalline SiSnMoCl2 at its relaxed geometry.

abc: 5.1632 5.1632 5.7549
angles: 90.00 90.00 90.00
Space group P4/mmm (No. 123)
One atom of each set of equivalent atoms:
Si1 0.0000 0.0000 0.0000 [1 per cell]
Sn1 0.5000 0.5000 0.5000 [1 per cell]
Mo1 0.5000 0.5000 0.0000 [1 per cell]
Cl1 0.0000 0.5000 0.5000 [2 per cell]

* energy relative to the elements, uncorrected: 1015 meV/atom
* E: -18.87 eV per cell

=====

13.
A plane-wave DFT calculation with PBE was carried out for crystalline SrHgRu2 at its relaxed geometry.

abc: 8.4123 4.4680 6.0489
angles: 90.00 116.01 90.00
Space group C2/m (No. 12)
One atom of each set of equivalent atoms:
Sr1 0.0000 0.0000 0.0000 [2 per cell]
Hg1 0.0000 0.5000 0.5000 [2 per cell]
Ru1 0.1964 0.0000 0.5392 [4 per cell]

* E: -38.48 eV per cell

=====

14.
A plane-wave DFT calculation with PBE was carried out for crystalline LaTb5PrTh2 at its relaxed geometry.

abc: 8.9253 8.9253 15.4851
angles: 90.00 90.00 90.00
Space group I4/mcm (No. 140)
One atom of each set of equivalent atoms:
La1 0.0000 0.0000 0.2500 [4 per cell]
Tb1 0.0000 0.0000 0.0000 [4 per cell]
Tb2 0.2051 0.2949 0.1349 [16 per cell]
Pr1 0.0000 0.5000 0.2500 [4 per cell]
Th1 0.1191 0.3809 0.5000 [8 per cell]

* E: -179.80 eV per cell

=====

15.
A plane-wave DFT calculation with PBE was carried out for crystalline Li2InAs at its relaxed geometry.

abc: 3.6770 3.7066 5.5745
angles: 90.00 90.00 90.00
Space group Pmm2 (No. 25)
One atom of each set of equivalent atoms:
Li1 0.0000 0.0000 0.0000 [1 per cell]
Li2 0.5000 0.5000 0.2631 [1 per cell]
In1 0.5000 0.5000 0.7470 [1 per cell]
As1 0.0000 0.0000 0.4871 [1 per cell]

* E: -12.48 eV per cell